Entry 1:
Here is Sr2PdPt2 after structural relaxation from the Alexandria database. Energies are from PBE.

## Properties
Total moment ... 0.00 μB/f.u.
Final energy ... -4.762 eV per atom
Excess energy over the best structure of this formula in the dataset ... 3.34 kcal/mol of atoms
SG ... P4/mbm

Cell and atoms, written as POSCAR:
```
Sr2PdPt2
1.0
7.2916 0.0000 0.0000
0.0000 7.2916 0.0000
0.0000 0.0000 4.4544
Sr Pd Pt
4 2 4
Cartesian
1.2896 2.3562 0.0000
2.3562 6.0021 0.0000
4.9354 1.2896 0.0000
6.0021 4.9354 0.0000
0.0000 0.0000 2.2272
3.6458 3.6458 2.2272
0.9501 4.5960 2.2272
2.6957 0.9501 2.2272
4.5960 6.3415 2.2272
6.3415 2.6957 2.2272
```

***

Entry 2:
Here is LuUFe after structural relaxation from the Alexandria database. Energies are from PBE.

## Properties
Total moment ... 0.31 μB/f.u.
Final energy ... -8.032 eV per atom
SG ... I4mm

Cell and atoms, written as POSCAR:
```
LuUFe
1.0
-1.6539 1.6539 5.3813
1.6539 -1.6539 5.3813
1.6539 1.6539 -5.3813
Lu U Fe
1 1 1
Cartesian
0.0000 0.0000 0.0000
0.0000 0.0000 3.1469
0.0000 0.0000 7.5617
```